No. 1
# LiY2MgCo PBE-GGA optimized geometry
data_LiY2MgCo
_chemical_formula_sum 'Li1 Y2 Mg1 Co1'
_symmetry_space_group_name_H-M 'P 4/m m m'
_symmetry_Int_Tables_number 123
_symmetry_space_group_name_Hall '-P 4 2'
_cell_length_a 5.118
_cell_length_b 5.118
_cell_length_c 5.046
_cell_angle_alpha 90.00
_cell_angle_beta 90.00
_cell_angle_gamma 90.00
loop_
_atom_site_label
_atom_site_type_symbol
_atom_site_fract_x
_atom_site_fract_y
_atom_site_fract_z
Li1 Li 0.000 0.000 0.000
Y1 Y 0.000 0.500 0.500
Mg1 Mg 0.500 0.500 0.000
Co1 Co 0.500 0.500 0.500
# Formation energy from the elements in eV/atom: 0.015
# Crystal system: tetragonal
# Spin magnetization in μB per cell: 0.0

No. 2
# LiMgZrCo PBE-GGA optimized geometry
data_LiMgZrCo
_chemical_formula_sum 'Li4 Mg4 Zr4 Co4'
_symmetry_space_group_name_H-M 'F -4 3 m'
_symmetry_Int_Tables_number 216
_symmetry_space_group_name_Hall 'F -4 2 3'
_cell_length_a 6.342
_cell_length_b 6.342
_cell_length_c 6.342
_cell_angle_alpha 90.00
_cell_angle_beta 90.00
_cell_angle_gamma 90.00
loop_
_atom_site_label
_atom_site_type_symbol
_atom_site_fract_x
_atom_site_fract_y
_atom_site_fract_z
Li1 Li 0.000 0.000 0.000
Mg1 Mg 0.250 0.250 0.250
Zr1 Zr 0.250 0.250 0.750
Co1 Co 0.000 0.000 0.500
# Formation energy from the elements in eV/atom: -0.010
# Crystal system: cubic
# Spin magnetization in μB per cell: 0.0

No. 3
# Li2MnCo PBE-GGA optimized geometry
data_Li2MnCo
_chemical_formula_sum 'Li4 Mn2 Co2'
_symmetry_space_group_name_H-M 'C 1 2/m 1'
_symmetry_Int_Tables_number 12
_cell_length_a 9.884
_cell_length_b 2.760
_cell_length_c 4.119
_cell_angle_alpha 90.00
_cell_angle_beta 114.23
_cell_angle_gamma 90.00
loop_
_symmetry_equiv_pos_as_xyz
'x,y,z'
'-x,-y,-z'
'-x,y,-z'
'x,-y,z'
'x+1/2,y+1/2,z'
'-x+1/2,-y+1/2,-z'
'-x+1/2,y+1/2,-z'
'x+1/2,-y+1/2,z'
loop_
_atom_site_label
_atom_site_type_symbol
_atom_site_fract_x
_atom_site_fract_y
_atom_site_fract_z
Li1 Li 0.238 0.000 0.238
Mn1 Mn 0.000 0.000 0.500
Co1 Co 0.000 0.500 0.000
# Formation energy from the elements in eV/atom: 0.208
# Crystal system: monoclinic
# Spin magnetization in μB per cell: 8.9

Q: Among the records above, which one has the highest spin magnetization?
A: Li2MnCo

Q: Which of these has the highest spin magnetization?
A: Li2MnCo

Q: The highest spin magnetization belongs to which entry?
A: Li2MnCo